[1]
A plane-wave DFT calculation with GGA-PBEsol was carried out for crystalline AgAs3P at its relaxed geometry.

Density, g/cm³: 5.766
Fermi-level density of states, states/eV per cell: 3.61
Formation enthalpy at 0 K, kJ/mol of formula units: 368

Geometry as CIF:
```
data_AgAs3P
_chemical_formula_sum 'Ag1 As3 P1'
_cell_length_a 4.713
_cell_length_b 4.713
_cell_length_c 4.713
_cell_angle_alpha 90.00
_cell_angle_beta 90.00
_cell_angle_gamma 90.00
_space_group_name_H-M_alt 'P m -3 m'
_space_group_IT_number 221
_space_group_name_Hall '-P 4 2 3'
loop_
_atom_site_label
_atom_site_fract_x
_atom_site_fract_y
_atom_site_fract_z
Ag1 0.000 0.000 0.000
As1 0.000 0.500 0.500
P1 0.500 0.500 0.500
```

***

[2]
A plane-wave DFT calculation with GGA-PBEsol was carried out for crystalline AgAs2P at its relaxed geometry.

Density, g/cm³: 6.697
Fermi-level density of states, states/eV per cell: 3.18
Formation enthalpy at 0 K, kJ/mol of formula units: 150

Geometry as CIF:
```
data_AgAs2P
_chemical_formula_sum 'Ag2 As4 P2'
_cell_length_a 3.709
_cell_length_b 3.709
_cell_length_c 10.409
_cell_angle_alpha 90.00
_cell_angle_beta 90.00
_cell_angle_gamma 90.00
_space_group_name_H-M_alt 'P 4/n m m'
_space_group_IT_number 129
loop_
_space_group_symop_operation_xyz
'x,y,z'
'-x,-y,-z'
'-y+1/2,x,z'
'y+1/2,-x,-z'
'-x+1/2,-y+1/2,z'
'x+1/2,y+1/2,-z'
'y,-x+1/2,z'
'-y,x+1/2,-z'
'x+1/2,-y,-z'
'-x+1/2,y,z'
'-y,-x,-z'
'y,x,z'
'-x,y+1/2,-z'
'x,-y+1/2,z'
'y+1/2,x+1/2,-z'
'-y+1/2,-x+1/2,z'
loop_
_atom_site_label
_atom_site_fract_x
_atom_site_fract_y
_atom_site_fract_z
Ag1 0.250 0.750 0.000
As1 0.250 0.250 0.207
As2 0.250 0.750 0.500
P1 0.250 0.250 0.727
```

***

[3]
A plane-wave DFT calculation with GGA-PBEsol was carried out for crystalline AgAs2P at its relaxed geometry.

Density, g/cm³: 6.951
Fermi-level density of states, states/eV per cell: 1.84
Formation enthalpy at 0 K, kJ/mol of formula units: 157

Geometry as CIF:
```
data_AgAs2P
_chemical_formula_sum 'Ag1 As2 P1'
_cell_length_a 2.803
_cell_length_b 4.881
_cell_length_c 5.040
_cell_angle_alpha 90.00
_cell_angle_beta 90.00
_cell_angle_gamma 90.00
_space_group_name_H-M_alt 'P m m m'
_space_group_IT_number 47
_space_group_name_Hall '-P 2 2'
loop_
_atom_site_label
_atom_site_fract_x
_atom_site_fract_y
_atom_site_fract_z
Ag1 0.000 0.000 0.000
As1 0.000 0.500 0.500
As2 0.500 0.500 0.000
P1 0.500 0.000 0.500
```

***

[4]
A plane-wave DFT calculation with GGA-PBEsol was carried out for crystalline YAg2AsP at its relaxed geometry.

Density, g/cm³: 4.939
Fermi-level density of states, states/eV per cell: 4.89
Formation enthalpy at 0 K, kJ/mol of formula units: 550

Geometry as CIF:
```
data_YAg2AsP
_chemical_formula_sum 'Y1 Ag2 As1 P1'
_cell_length_a 5.224
_cell_length_b 5.224
_cell_length_c 5.058
_cell_angle_alpha 90.00
_cell_angle_beta 90.00
_cell_angle_gamma 90.00
_space_group_name_H-M_alt 'P 4/m m m'
_space_group_IT_number 123
_space_group_name_Hall '-P 4 2'
loop_
_atom_site_label
_atom_site_fract_x
_atom_site_fract_y
_atom_site_fract_z
Y1 0.000 0.000 0.000
Ag1 0.000 0.500 0.000
As1 0.500 0.500 0.500
P1 0.000 0.000 0.500
```

***

[5]
A plane-wave DFT calculation with GGA-PBEsol was carried out for crystalline Ag2AsPb at its relaxed geometry.

Density, g/cm³: 9.990
Fermi-level density of states, states/eV per cell: 3.27
Formation enthalpy at 0 K, kJ/mol of formula units: 58

Geometry as CIF:
```
data_Ag2AsPb
_chemical_formula_sum 'Ag4 As2 Pb2'
_cell_length_a 8.621
_cell_length_b 3.308
_cell_length_c 5.942
_cell_angle_alpha 90.00
_cell_angle_beta 102.42
_cell_angle_gamma 90.00
_space_group_name_H-M_alt 'C 1 2/m 1'
_space_group_IT_number 12
_space_group_name_Hall '-C 2y'
loop_
_atom_site_label
_atom_site_fract_x
_atom_site_fract_y
_atom_site_fract_z
Ag1 0.241 0.000 0.205
As1 0.000 0.500 0.000
Pb1 0.000 0.000 0.500
```

***

[6]
A plane-wave DFT calculation with GGA-PBEsol was carried out for crystalline Ag4AsPb at its relaxed geometry.

Density, g/cm³: 10.115
Fermi-level density of states, states/eV per cell: 10.75
Formation enthalpy at 0 K, kJ/mol of formula units: 88

Geometry as CIF:
```
data_Ag4AsPb
_chemical_formula_sum 'Ag16 As4 Pb4'
_cell_length_a 7.767
_cell_length_b 7.767
_cell_length_c 7.767
_cell_angle_alpha 90.00
_cell_angle_beta 90.00
_cell_angle_gamma 90.00
_space_group_name_H-M_alt 'F -4 3 m'
_space_group_IT_number 216
_space_group_name_Hall 'F -4 2 3'
loop_
_atom_site_label
_atom_site_fract_x
_atom_site_fract_y
_atom_site_fract_z
Ag1 0.125 0.125 0.125
As1 0.000 0.000 0.500
Pb1 0.250 0.250 0.750
```

***

[7]
A plane-wave DFT calculation with GGA-PBEsol was carried out for crystalline Ag2AsPb at its relaxed geometry.

Density, g/cm³: 10.081
Fermi-level density of states, states/eV per cell: 5.30
Formation enthalpy at 0 K, kJ/mol of formula units: 74

Geometry as CIF:
```
data_Ag2AsPb
_chemical_formula_sum 'Ag6 As3 Pb3'
_cell_length_a 3.3221
_cell_length_b 3.3221
_cell_length_c 25.7401
_cell_angle_alpha 90.00
_cell_angle_beta 90.00
_cell_angle_gamma 120.00
_space_group_name_H-M_alt 'R -3 m'
_space_group_IT_number 166
_space_group_name_Hall '-R 3 2"'
loop_
_atom_site_label
_atom_site_fract_x
_atom_site_fract_y
_atom_site_fract_z
Ag1 0.0000 0.0000 0.2416
As1 0.0000 0.0000 0.5000
Pb1 0.0000 0.0000 0.0000
```

***

[8]
A plane-wave DFT calculation with GGA-PBEsol was carried out for crystalline AgAs3Pb at its relaxed geometry.

Density, g/cm³: 7.246
Fermi-level density of states, states/eV per cell: 4.10
Formation enthalpy at 0 K, kJ/mol of formula units: 328

Geometry as CIF:
```
data_AgAs3Pb
_chemical_formula_sum 'Ag1 As3 Pb1'
_cell_length_a 4.983
_cell_length_b 4.983
_cell_length_c 4.983
_cell_angle_alpha 90.00
_cell_angle_beta 90.00
_cell_angle_gamma 90.00
_space_group_name_H-M_alt 'P m -3 m'
_space_group_IT_number 221
_space_group_name_Hall '-P 4 2 3'
loop_
_atom_site_label
_atom_site_fract_x
_atom_site_fract_y
_atom_site_fract_z
Ag1 0.000 0.000 0.000
As1 0.000 0.000 0.500
Pb1 0.500 0.500 0.500
```

***

[9]
A plane-wave DFT calculation with GGA-PBEsol was carried out for crystalline AgAs2Pb at its relaxed geometry.

Density, g/cm³: 8.737
Fermi-level density of states, states/eV per cell: 4.33
Formation enthalpy at 0 K, kJ/mol of formula units: 50

Geometry as CIF:
```
data_AgAs2Pb
_chemical_formula_sum 'Ag3 As6 Pb3'
_cell_length_a 3.6642
_cell_length_b 3.6642
_cell_length_c 22.7971
_cell_angle_alpha 90.00
_cell_angle_beta 90.00
_cell_angle_gamma 120.00
_space_group_name_H-M_alt 'R 3 m'
_space_group_IT_number 160
_space_group_name_Hall 'R 3 -2"'
loop_
_atom_site_label
_atom_site_fract_x
_atom_site_fract_y
_atom_site_fract_z
Ag1 0.0000 0.0000 0.0000
As1 0.0000 0.0000 0.2547
As2 0.0000 0.0000 0.5238
Pb1 0.0000 0.0000 0.7572
```

***

[10]
A plane-wave DFT calculation with GGA-PBEsol was carried out for crystalline AgAsPb2 at its relaxed geometry.

Density, g/cm³: 10.401
Fermi-level density of states, states/eV per cell: 1.60
Formation enthalpy at 0 K, kJ/mol of formula units: 42

Geometry as CIF:
```
data_AgAsPb2
_chemical_formula_sum 'Ag1 As1 Pb2'
_cell_length_a 3.577
_cell_length_b 3.667
_cell_length_c 7.267
_cell_angle_alpha 90.00
_cell_angle_beta 90.00
_cell_angle_gamma 90.00
_space_group_name_H-M_alt 'P m m 2'
_space_group_IT_number 25
_space_group_name_Hall 'P 2 -2'
loop_
_atom_site_label
_atom_site_fract_x
_atom_site_fract_y
_atom_site_fract_z
Ag1 0.000 0.000 0.000
As1 0.500 0.500 0.177
Pb1 0.000 0.000 0.416
Pb2 0.500 0.500 0.763
```

***

[11]
A plane-wave DFT calculation with GGA-PBEsol was carried out for crystalline AgAsPb2 at its relaxed geometry.

Density, g/cm³: 10.482
Fermi-level density of states, states/eV per cell: 1.91
Formation enthalpy at 0 K, kJ/mol of formula units: 59

Geometry as CIF:
```
data_AgAsPb2
_chemical_formula_sum 'Ag1 As1 Pb2'
_cell_length_a 4.874
_cell_length_b 4.874
_cell_length_c 3.982
_cell_angle_alpha 90.00
_cell_angle_beta 90.00
_cell_angle_gamma 90.00
_space_group_name_H-M_alt 'P 4/m m m'
_space_group_IT_number 123
_space_group_name_Hall '-P 4 2'
loop_
_atom_site_label
_atom_site_fract_x
_atom_site_fract_y
_atom_site_fract_z
Ag1 0.000 0.000 0.000
As1 0.500 0.500 0.000
Pb1 0.000 0.500 0.500
```

***

[12]
A plane-wave DFT calculation with GGA-PBEsol was carried out for crystalline AgAsPb2 at its relaxed geometry.

Density, g/cm³: 10.180
Fermi-level density of states, states/eV per cell: 1.86
Formation enthalpy at 0 K, kJ/mol of formula units: 17

Geometry as CIF:
```
data_AgAsPb2
_chemical_formula_sum 'Ag1 As1 Pb2'
_cell_length_a 4.203
_cell_length_b 4.161
_cell_length_c 5.952
_cell_angle_alpha 90.00
_cell_angle_beta 110.62
_cell_angle_gamma 90.00
_space_group_name_H-M_alt 'P 1 m 1'
_space_group_IT_number 6
_space_group_name_Hall 'P -2y'
loop_
_atom_site_label
_atom_site_fract_x
_atom_site_fract_y
_atom_site_fract_z
Ag1 0.000 0.000 0.000
As1 0.159 0.500 0.315
Pb1 0.427 0.500 0.854
Pb2 0.730 0.000 0.460
```